# 1
CsHf2Ru, relaxed, DFT PBE; total magnetization = 0.00 μB per formula unit; SG = Fm-3m; E_form = 1023 meV per atom; V = 21.65 Å³ per atom
1.0
0.000 3.511 3.511
3.511 0.000 3.511
3.511 3.511 0.000
Cs Hf Ru
1 2 1
Direct
0.000 0.000 0.000
0.250 0.250 0.250
0.750 0.750 0.750
0.500 0.500 0.500


# 2
FeNi5H7, relaxed, DFT PBE; total magnetization = 2.68 μB per formula unit; SG = P2_1/m; V = 6.36 Å³ per atom
1.0
2.613 0.000 0.000
0.000 14.546 0.000
-1.293 0.000 4.353
Fe Ni H
2 10 14
Direct
0.197 0.250 0.393
0.803 0.750 0.607
0.000 0.000 0.000
0.000 0.500 0.000
0.273 0.581 0.547
0.273 0.919 0.547
0.456 0.155 0.913
0.456 0.345 0.913
0.544 0.655 0.087
0.544 0.845 0.087
0.727 0.081 0.453
0.727 0.419 0.453
0.089 0.111 0.179
0.089 0.389 0.179
0.174 0.681 0.348
0.174 0.819 0.348
0.364 0.036 0.728
0.364 0.464 0.728
0.442 0.750 0.887
0.558 0.250 0.113
0.636 0.536 0.272
0.636 0.964 0.272
0.826 0.181 0.652
0.826 0.319 0.652
0.911 0.611 0.821
0.911 0.889 0.821


# 3
K2TbCuBr6, relaxed, DFT PBE; total magnetization = 0.08 μB per formula unit; SG = P2_1/c; V = 34.10 Å³ per atom; E_form (uncorrected) = -1.48 eV/atom
1.0
7.977 0.000 0.000
0.000 8.709 0.000
-7.932 0.000 9.817
K Tb Cu Br
4 2 2 12
Direct
0.224 0.090 0.247
0.224 0.410 0.747
0.776 0.590 0.253
0.776 0.910 0.753
0.000 0.000 0.500
0.000 0.500 0.000
0.500 0.000 0.000
0.500 0.500 0.500
0.116 0.222 0.950
0.116 0.278 0.450
0.243 0.664 0.949
0.243 0.836 0.449
0.384 0.031 0.781
0.384 0.469 0.281
0.616 0.531 0.719
0.616 0.969 0.219
0.757 0.164 0.551
0.757 0.336 0.051
0.884 0.722 0.550
0.884 0.778 0.050


# 4
Th2TaReN6, relaxed, DFT PBE; total magnetization = 0.00 μB per formula unit; SG = P4mm; V = 13.07 Å³ per atom; E_form (uncorrected) = -1.01 eV/atom
1.0
5.678 0.000 0.000
0.000 5.678 0.000
0.000 0.000 4.053
Th Ta Re N
2 1 1 6
Direct
0.000 0.500 0.000
0.500 0.000 0.000
0.000 0.000 0.550
0.500 0.500 0.596
0.000 0.000 0.064
0.253 0.253 0.595
0.253 0.747 0.595
0.500 0.500 0.088
0.747 0.253 0.595
0.747 0.747 0.595


# 5
PrCu2BRh2, relaxed, DFT PBE; total magnetization = 0.00 μB per formula unit; SG = P4/mmm; E_form = -355 meV per atom; V = 15.88 Å³ per atom
1.0
4.131 0.000 0.000
0.000 4.131 0.000
0.000 0.000 5.583
Pr Cu B Rh
1 2 1 2
Direct
0.000 0.000 0.000
0.500 0.500 0.215
0.500 0.500 0.785
0.000 0.000 0.500
0.000 0.500 0.500
0.500 0.000 0.500


# 6
Ru2Br8Cl, relaxed, DFT PBE; total magnetization = 5.08 μB per formula unit; SG = C2/m; V = 35.34 Å³ per atom; E_form (uncorrected) = -0.16 eV/atom
1.0
4.082 -6.030 0.000
4.082 6.030 0.000
-0.405 0.000 7.896
Ru Br Cl
2 8 1
Direct
0.112 0.112 0.219
0.888 0.888 0.781
0.106 0.703 0.776
0.188 0.188 0.918
0.297 0.894 0.224
0.400 0.400 0.311
0.600 0.600 0.689
0.703 0.106 0.776
0.812 0.812 0.082
0.894 0.297 0.224
0.000 0.000 0.500


# 7
Cs3KPt, relaxed, DFT PBE; total magnetization = 0.00 μB per formula unit; SG = Pm-3m; E_form = 25 meV per atom; V = 66.73 Å³ per atom
1.0
6.936 0.000 0.000
0.000 6.936 0.000
0.000 0.000 6.936
Cs K Pt
3 1 1
Direct
0.000 0.000 0.500
0.000 0.500 0.000
0.500 0.000 0.000
0.500 0.500 0.500
0.000 0.000 0.000


# 8
ThS5Cl, relaxed, DFT PBE; total magnetization = 0.00 μB per formula unit; SG = P1; V = 29.64 Å³ per atom; E_form (uncorrected) = -0.81 eV/atom
1.0
5.354 0.000 0.000
0.066 5.632 0.000
0.441 1.851 6.880
Th S Cl
1 5 1
Direct
0.000 0.000 0.000
0.148 0.059 0.512
0.494 0.169 0.019
0.500 0.859 0.914
0.905 0.851 0.416
0.961 0.309 0.626
0.985 0.486 0.075


# 9
Sm4MgZn, relaxed, DFT PBE; total magnetization = 0.00 μB per formula unit; SG = P4/mmm; E_form = -121 meV per atom; V = 28.99 Å³ per atom
1.0
3.663 0.000 0.000
0.000 3.663 0.000
0.000 0.000 12.966
Sm Mg Zn
4 1 1
Direct
0.000 0.000 0.140
0.000 0.000 0.860
0.500 0.500 0.335
0.500 0.500 0.665
0.000 0.000 0.500
0.500 0.500 0.000


# 10
La2TeRu, relaxed, DFT PBE; total magnetization = 0.00 μB per formula unit; SG = Cmmm; V = 27.19 Å³ per atom; E_form (uncorrected) = -0.73 eV/atom
1.0
2.402 -2.846 0.000
2.402 2.846 0.000
0.000 0.000 7.955
La Te Ru
2 1 1
Direct
0.000 0.000 0.219
0.000 0.000 0.781
0.500 0.500 0.500
0.500 0.500 0.000


# 11
Er7Te2Ru2, relaxed, DFT PBE; total magnetization = 0.00 μB per formula unit; SG = Cmmm; V = 29.34 Å³ per atom; E_form (uncorrected) = -0.54 eV/atom
1.0
4.334 -5.118 0.000
4.334 5.118 0.000
0.000 0.000 7.274
Er Te Ru
7 2 2
Direct
0.000 0.000 0.000
0.000 0.500 0.234
0.000 0.500 0.766
0.500 0.000 0.234
0.500 0.000 0.766
0.500 0.500 0.223
0.500 0.500 0.777
0.222 0.222 0.500
0.778 0.778 0.500
0.275 0.725 0.000
0.725 0.275 0.000


# 12
K3CoRh2Se6, relaxed, DFT PBE; total magnetization = 0.00 μB per formula unit; SG = C2/m; V = 22.86 Å³ per atom; E_form (uncorrected) = -0.67 eV/atom
1.0
3.331 -5.768 0.000
3.331 5.768 0.000
-2.220 0.000 7.138
K Co Rh Se
3 1 2 6
Direct
0.000 0.000 0.000
0.330 0.670 0.000
0.670 0.330 0.000
0.500 0.500 0.500
0.167 0.833 0.500
0.833 0.167 0.500
0.121 0.445 0.335
0.232 0.232 0.666
0.445 0.121 0.335
0.555 0.879 0.665
0.768 0.768 0.334
0.879 0.555 0.665


# 13
BSbIr3, relaxed, DFT PBE; total magnetization = 0.00 μB per formula unit; SG = Pm-3m; V = 15.19 Å³ per atom; E_form (uncorrected) = 0.22 eV/atom
1.0
4.235 0.000 0.000
0.000 4.235 0.000
0.000 0.000 4.235
B Sb Ir
1 1 3
Direct
0.000 0.000 0.000
0.500 0.500 0.500
0.000 0.000 0.500
0.000 0.500 0.000
0.500 0.000 0.000


# 14
PC2I, relaxed, DFT PBE; total magnetization = 0.00 μB per formula unit; SG = I-42d; V = 14.14 Å³ per atom; E_form (uncorrected) = 1.51 eV/atom
1.0
-2.630 2.630 4.087
2.630 -2.630 4.087
2.630 2.630 -4.087
P C I
2 4 2
Direct
0.000 0.000 0.000
0.750 0.250 0.500
0.375 0.248 0.373
0.752 0.125 0.127
0.875 0.002 0.627
0.998 0.625 0.873
0.250 0.750 0.500
0.500 0.500 0.000


# 15
CaHoTlIn, relaxed, DFT PBE; total magnetization = 0.00 μB per formula unit; SG = F-43m; E_form = -400 meV per atom; V = 27.80 Å³ per atom
1.0
0.000 3.817 3.817
3.817 0.000 3.817
3.817 3.817 0.000
Ca Ho Tl In
1 1 1 1
Direct
0.000 0.000 0.000
0.500 0.500 0.500
0.250 0.250 0.250
0.750 0.750 0.750


# 16
MgScCd, relaxed, DFT PBE; total magnetization = 0.00 μB per formula unit; SG = Imm2; E_form = -79 meV per atom; V = 22.27 Å³ per atom
1.0
-1.564 2.342 4.560
1.564 -2.342 4.560
1.564 2.342 -4.560
Mg Sc Cd
1 1 1
Direct
0.000 0.000 0.000
0.667 0.667 0.000
0.330 0.330 0.000


# 17
Cs2Hg5Au4, relaxed, DFT PBE; total magnetization = 0.00 μB per formula unit; SG = C2/m; E_form = -161 meV per atom; V = 33.27 Å³ per atom
1.0
7.256 -3.347 0.000
7.256 3.347 0.000
-5.961 0.000 7.534
Cs Hg Au
2 5 4
Direct
0.231 0.231 0.157
0.769 0.769 0.843
0.184 0.693 0.648
0.307 0.816 0.352
0.500 0.500 0.000
0.693 0.184 0.648
0.816 0.307 0.352
0.112 0.112 0.683
0.281 0.281 0.645
0.719 0.719 0.355
0.888 0.888 0.317


# 18
Tb2Tl3GeSe6, relaxed, DFT PBE; total magnetization = 0.00 μB per formula unit; SG = C2/m; V = 28.48 Å³ per atom; E_form (uncorrected) = -0.99 eV/atom
1.0
9.706 -2.072 0.000
9.706 2.072 0.000
-2.914 0.000 8.500
Tb Tl Ge Se
2 3 1 6
Direct
0.165 0.165 0.334
0.835 0.835 0.666
0.168 0.168 0.841
0.500 0.500 0.500
0.832 0.832 0.159
0.500 0.500 0.000
0.007 0.007 0.219
0.323 0.323 0.436
0.348 0.348 0.895
0.652 0.652 0.105
0.677 0.677 0.564
0.993 0.993 0.781


# 19
SrInSb, relaxed, DFT PBE; total magnetization = 0.00 μB per formula unit; SG = Cmc2_1; V = 34.90 Å³ per atom; E_form (uncorrected) = -0.61 eV/atom
1.0
2.342 -6.765 0.000
2.342 6.765 0.000
0.000 0.000 6.609
Sr In Sb
2 2 2
Direct
0.159 0.841 0.500
0.841 0.159 0.000
0.465 0.535 0.499
0.535 0.465 0.999
0.164 0.836 0.000
0.836 0.164 0.500


# 20
Mg5H3Ir2, relaxed, DFT PBE; total magnetization = 0.00 μB per formula unit; SG = Cmm2; V = 13.64 Å³ per atom
1.0
3.119 -3.136 0.000
3.119 3.136 0.000
0.000 0.000 6.975
Mg H Ir
5 3 2
Direct
0.000 0.000 0.000
0.000 0.500 0.268
0.000 0.500 0.727
0.500 0.000 0.268
0.500 0.000 0.727
0.269 0.269 0.497
0.500 0.500 0.753
0.731 0.731 0.497
0.000 0.000 0.499
0.500 0.500 0.991


# 21
CdAuN, relaxed, DFT PBE; total magnetization = 0.00 μB per formula unit; SG = Amm2; V = 19.20 Å³ per atom; E_form (uncorrected) = 0.56 eV/atom
1.0
4.081 0.000 0.000
0.000 1.999 3.531
0.000 -1.999 3.531
Cd Au N
1 1 1
Direct
0.000 0.000 0.000
0.500 0.295 0.295
0.000 0.351 0.351


# 22
ZrBi2Au2, relaxed, DFT PBE; total magnetization = 0.00 μB per formula unit; SG = P4/mbm; E_form = -101 meV per atom; V = 24.13 Å³ per atom
1.0
7.648 0.000 0.000
0.000 7.648 0.000
0.000 0.000 4.125
Zr Bi Au
2 4 4
Direct
0.000 0.000 0.000
0.500 0.500 0.000
0.180 0.320 0.500
0.320 0.820 0.500
0.680 0.180 0.500
0.820 0.680 0.500
0.128 0.628 0.000
0.372 0.128 0.000
0.628 0.872 0.000
0.872 0.372 0.000


# 23
Cs3InGe2Cl9, relaxed, DFT PBE; total magnetization = 0.00 μB per formula unit; SG = P-3m1; V = 31.24 Å³ per atom; E_form (uncorrected) = -1.34 eV/atom
1.0
7.614 0.000 0.000
-3.807 6.594 0.000
0.000 0.000 9.332
Cs In Ge Cl
3 1 2 9
Direct
0.000 0.000 0.000
0.333 0.667 0.672
0.667 0.333 0.328
0.000 0.000 0.500
0.333 0.667 0.165
0.667 0.333 0.835
0.000 0.500 0.000
0.170 0.340 0.327
0.170 0.830 0.327
0.340 0.170 0.673
0.500 0.000 0.000
0.500 0.500 0.000
0.660 0.830 0.327
0.830 0.170 0.673
0.830 0.660 0.673


| no. | energy (eV per atom) |
| --- | --- |
| 1 | -6.49 |
| 2 | -4.69 |
| 3 | -3.58 |
| 4 | -9.92 |
| 5 | -6.08 |
| 6 | -3.23 |
| 7 | -1.91 |
| 8 | -5.08 |
| 9 | -3.75 |
| 10 | -6.30 |
| 11 | -5.70 |
| 12 | -4.50 |
| 13 | -7.25 |
| 14 | -4.84 |
| 15 | -3.32 |
| 16 | -3.03 |
| 17 | -1.65 |
| 18 | -4.48 |
| 19 | -3.45 |
| 20 | -3.89 |
| 21 | -3.61 |
| 22 | -4.67 |
| 23 | -3.42 |